1.
This record from Alexandria describes an optimized crystal structure of HoTmAsSe. The functional is PBE.

Results
The calculation puts the uncorrected formation energy at -1.5937 eV per atom. The calculation puts the calculated total energy at -70.7 eV per cell. The value obtained for the density of states at the Fermi level is 7.5 states/eV/cell. For the spin magnetization, the calculation gives 0.0 Bohr magnetons per cell.

Cell: 3.9900 3.9900 21.0356 Å, 90.00 90.00 120.00°
Space group R3m (No. 160, hexagonal axes)
Asymmetric unit:
Ho 0.0000 0.0000 0.0000 [3 per cell]
Tm 0.0000 0.0000 0.1806 [3 per cell]
As 0.0000 0.0000 0.5911 [3 per cell]
Se 0.0000 0.0000 0.4232 [3 per cell]

---

2.
This record from Alexandria describes an optimized crystal structure of K2Li2Te. The functional is PBE.

Results
The calculation puts the uncorrected formation energy at -0.4112 eV per atom. The calculation puts the calculated total energy at -22.4 eV per cell. The value obtained for the density of states at the Fermi level is 0.5 states/eV/cell. For the spin magnetization, the calculation gives 0.0 Bohr magnetons per cell.

Cell: 7.662 7.662 5.733 Å, 90.00 90.00 90.00°
Space group P4/mbm (No. 127)
Asymmetric unit:
K 0.196 0.304 0.000 [4 per cell]
Li 0.143 0.643 0.500 [4 per cell]
Te 0.000 0.000 0.500 [2 per cell]

---

3.
This record from Alexandria describes an optimized crystal structure of Rb2ThAg2Te4. The functional is PBE.

Results
The calculation puts the uncorrected formation energy at -0.9031 eV per atom. The calculation puts the calculated total energy at -71.5 eV per cell. For the spin magnetization, the calculation gives 0.0 Bohr magnetons per cell.

Cell: 16.657 4.612 8.761 Å, 90.00 109.14 90.00°
Space group C2/m (No. 12)
Asymmetric unit:
Rb 0.137 0.000 0.075 [4 per cell]
Th 0.000 0.000 0.500 [2 per cell]
Ag 0.181 0.500 0.488 [4 per cell]
Te 0.013 0.500 0.260 [4 per cell]
Te 0.196 0.000 0.691 [4 per cell]

---

4.
This record from Alexandria describes an optimized crystal structure of AcThCd4. The functional is PBE.

Results
For the energy of formation from the pure elements, the calculation gives -0.23 eV per atom. The calculation puts the calculated total energy at -16.6 eV per cell. The value obtained for the density of states at the Fermi level is 5.9 states/eV/cell. For the spin magnetization, the calculation gives 0.0 Bohr magnetons per cell.

Cell: 3.528 5.185 8.990 Å, 90.00 90.00 90.00°
Space group Pmmm (No. 47)
Asymmetric unit:
Ac 0.000 0.000 0.000 [1 per cell]
Th 0.000 0.500 0.500 [1 per cell]
Cd 0.500 0.000 0.339 [2 per cell]
Cd 0.500 0.500 0.173 [2 per cell]

---

5.
This record from Alexandria describes an optimized crystal structure of AlNiC. The functional is PBE.

Results
For the energy of formation from the pure elements, the calculation gives 0.08 eV per atom. The calculation puts the calculated total energy at -37.0 eV per cell. The value obtained for the density of states at the Fermi level is 1.5 states/eV/cell. For the spin magnetization, the calculation gives 0.0 Bohr magnetons per cell.

Cell: 3.226 4.452 4.928 Å, 75.91 87.22 73.25°
Space group P-1 (No. 2)
Asymmetric unit:
Al 0.121 0.181 0.140 [2 per cell]
Ni 0.447 0.582 0.244 [2 per cell]
C 0.487 0.850 0.500 [2 per cell]

---

6.
This record from Alexandria describes an optimized crystal structure of Bi3HPb3. The functional is PBE.

Results
The calculation puts the calculated total energy at -50.1 eV per cell. The value obtained for the density of states at the Fermi level is 5.6 states/eV/cell. For the spin magnetization, the calculation gives 0.0 Bohr magnetons per cell.

Cell: 7.327 7.574 9.135 Å, 99.59 103.25 108.93°
Space group P-1 (No. 2)
Asymmetric unit:
Bi 0.094 0.031 0.254 [2 per cell]
Bi 0.293 0.689 0.121 [2 per cell]
Bi 0.364 0.645 0.519 [2 per cell]
H 0.142 0.162 0.913 [2 per cell]
Pb 0.060 0.617 0.747 [2 per cell]
Pb 0.296 0.034 0.613 [2 per cell]
Pb 0.410 0.318 0.104 [2 per cell]

---

7.
This record from Alexandria describes an optimized crystal structure of RbTbWN3. The functional is PBE.

Results
The calculation puts the uncorrected formation energy at -0.5989 eV per atom. The calculation puts the calculated total energy at -188.5 eV per cell. The value obtained for the density of states at the Fermi level is 0.3 states/eV/cell. For the spin magnetization, the calculation gives 0.0 Bohr magnetons per cell.

Cell: 13.587 3.919 8.300 Å, 90.00 104.24 90.00°
Space group C2/m (No. 12)
Asymmetric unit:
Rb 0.145 0.000 0.067 [4 per cell]
Tb 0.163 0.000 0.585 [4 per cell]
W 0.009 0.500 0.333 [4 per cell]
N 0.013 0.000 0.352 [4 per cell]
N 0.134 0.500 0.770 [4 per cell]
N 0.161 0.500 0.369 [4 per cell]

---

8.
This record from Alexandria describes an optimized crystal structure of SiMoPt. The functional is PBE.

Results
The calculation puts the uncorrected formation energy at -0.2090 eV per atom. The calculation puts the calculated total energy at -22.9 eV per cell. The value obtained for the density of states at the Fermi level is 1.1 states/eV/cell. For the spin magnetization, the calculation gives 0.0 Bohr magnetons per cell.

Cell: 2.8302 2.8302 6.3920 Å, 90.00 90.00 120.00°
Space group P3m1 (No. 156)
Asymmetric unit:
Si 0.0000 0.0000 0.0000 [1 per cell]
Mo 0.3333 0.6667 0.3261 [1 per cell]
Pt 0.6667 0.3333 0.6899 [1 per cell]

---

9.
This record from Alexandria describes an optimized crystal structure of CoAuSe2. The functional is PBE.

Results
The calculation puts the uncorrected formation energy at 0.0076 eV per atom. The calculation puts the calculated total energy at -69.3 eV per cell. The value obtained for the density of states at the Fermi level is 11.0 states/eV/cell. For the spin magnetization, the calculation gives 0.0 Bohr magnetons per cell.

Cell: 5.678 3.847 13.443 Å, 90.00 90.00 90.00°
Space group Pnma (No. 62)
Asymmetric unit:
Co 0.024 0.250 0.117 [4 per cell]
Au 0.203 0.750 0.353 [4 per cell]
Se 0.080 0.750 0.703 [4 per cell]
Se 0.182 0.750 0.038 [4 per cell]

---

10.
This record from Alexandria describes an optimized crystal structure of NbZn2P2. The functional is PBE.

Results
For the energy of formation from the pure elements, the calculation gives 0.34 eV per atom. The calculation puts the calculated total energy at -43.4 eV per cell. The value obtained for the density of states at the Fermi level is 4.9 states/eV/cell. For the spin magnetization, the calculation gives 2.3 Bohr magnetons per cell.

Cell: 4.616 4.616 7.744 Å, 90.00 90.00 90.00°
Space group I4/mmm (No. 139)
Asymmetric unit:
Nb 0.000 0.000 0.000 [2 per cell]
Zn 0.000 0.000 0.350 [4 per cell]
P 0.000 0.500 0.250 [4 per cell]

---

11.
This record from Alexandria describes an optimized crystal structure of CaPaIr2. The functional is PBE.

Results
For the energy of formation from the pure elements, the calculation gives -0.54 eV per atom. The calculation puts the calculated total energy at -125.6 eV per cell. The value obtained for the density of states at the Fermi level is 9.7 states/eV/cell. For the spin magnetization, the calculation gives 0.0 Bohr magnetons per cell.

Cell: 6.875 6.875 6.875 Å, 90.00 90.00 90.00°
Space group Fm-3m (No. 225)
Asymmetric unit:
Ca 0.000 0.000 0.000 [4 per cell]
Pa 0.000 0.000 0.500 [4 per cell]
Ir 0.250 0.250 0.250 [8 per cell]

---

12.
This record from Alexandria describes an optimized crystal structure of NbAl2TlAg. The functional is PBE.

Results
For the energy of formation from the pure elements, the calculation gives 1.05 eV per atom. The calculation puts the calculated total energy at -17.5 eV per cell. The value obtained for the density of states at the Fermi level is 5.0 states/eV/cell. For the spin magnetization, the calculation gives 2.2 Bohr magnetons per cell.

Cell: 4.724 4.724 5.459 Å, 90.00 90.00 90.00°
Space group P4/mmm (No. 123)
Asymmetric unit:
Nb 0.000 0.000 0.000 [1 per cell]
Al 0.000 0.500 0.500 [2 per cell]
Tl 0.500 0.500 0.000 [1 per cell]
Ag 0.500 0.500 0.500 [1 per cell]

---

What is the formula in the tenth record? NbZn2P2